Here is crystalline Pm2VPdO6 at its relaxed geometry from the Alexandria database. Energies are from PBE with a Hubbard U.

The structure belongs to space group P4mm (No. 99); the cell edges are 5.4698, 5.4698 and 4.7029 Å and the angles 90.00°, 90.00° and 90.00°. The inequivalent atoms are Pm at (0.0000, 0.5000, 0.0000), V at (0.0000, 0.0000, 0.5929), Pd at (0.5000, 0.5000, 0.5754), O at (0.0000, 0.0000, 0.2104), O at (0.2272, 0.2272, 0.7170) and O at (0.5000, 0.5000, 0.1103).

For the total energy, the calculation gives -7.33 eV/atom.